No. 1
# AlP2C, optimized geometry, DFT GGA-PBE
data_AlP2C
_chemical_formula_sum 'Al4 P8 C4'
_space_group_name_H-M_alt 'F m -3 m'
_space_group_IT_number 225
_space_group_name_Hall '-F 4 2 3'
_cell_length_a 5.9254
_cell_length_b 5.9254
_cell_length_c 5.9254
_cell_angle_alpha 90.00
_cell_angle_beta 90.00
_cell_angle_gamma 90.00
loop_
_atom_site_label
_atom_site_type_symbol
_atom_site_fract_x
_atom_site_fract_y
_atom_site_fract_z
_atom_site_occupancy
Al1 Al 0.0000 0.0000 0.0000 1
P1 P 0.2500 0.2500 0.2500 1
C1 C 0.0000 0.0000 0.5000 1
# Formation energy ... 1415 meV per atom
# Energy relative to the lowest polymorph listed for this composition ... 1063.0 meV per atom
# E_tot ... -4.531 eV per atom

---

No. 2
# Pr5ErSn3, optimized geometry, DFT GGA-PBE
data_Pr5ErSn3
_chemical_formula_sum 'Pr10 Er2 Sn6'
_space_group_name_H-M_alt 'P 63/m c m'
_space_group_IT_number 193
_space_group_name_Hall '-P 6c 2'
_cell_length_a 9.6791
_cell_length_b 9.6791
_cell_length_c 6.7791
_cell_angle_alpha 90.00
_cell_angle_beta 90.00
_cell_angle_gamma 120.00
loop_
_atom_site_label
_atom_site_type_symbol
_atom_site_fract_x
_atom_site_fract_y
_atom_site_fract_z
_atom_site_occupancy
Pr1 Pr 0.0000 0.3295 0.2500 1
Pr2 Pr 0.3333 0.6667 0.0000 1
Er1 Er 0.0000 0.0000 0.0000 1
Sn1 Sn 0.0000 0.3338 0.7500 1
# Formation energy ... -550 meV per atom
# E_tot ... -5.046 eV per atom

---

No. 3
# NpWN, optimized geometry, DFT GGA-PBE
data_NpWN
_chemical_formula_sum 'Np4 W4 N4'
_space_group_name_H-M_alt 'A m m 2'
_space_group_IT_number 38
_cell_length_a 11.0641
_cell_length_b 3.0445
_cell_length_c 5.2751
_cell_angle_alpha 90.00
_cell_angle_beta 90.00
_cell_angle_gamma 90.00
loop_
_space_group_symop_operation_xyz
'x,y,z'
'-x,-y,z'
'-x,y,z'
'x,-y,z'
'x,y+1/2,z+1/2'
'-x,-y+1/2,z+1/2'
'-x,y+1/2,z+1/2'
'x,-y+1/2,z+1/2'
loop_
_atom_site_label
_atom_site_type_symbol
_atom_site_fract_x
_atom_site_fract_y
_atom_site_fract_z
_atom_site_occupancy
Np1 Np 0.0000 0.0000 0.0000 1
Np2 Np 0.5000 0.0000 0.0015 1
W1 W 0.2540 0.0000 0.3333 1
N1 N 0.1483 0.0000 0.6667 1
# Formation energy without anion corrections ... -0.60 eV per formula unit
# E_tot ... -11.607 eV per atom

---

No. 4
# ZnCuH2, optimized geometry, DFT GGA-PBE
data_ZnCuH2
_chemical_formula_sum 'Zn4 Cu4 H8'
_space_group_name_H-M_alt 'F m -3 m'
_space_group_IT_number 225
_space_group_name_Hall '-F 4 2 3'
_cell_length_a 5.1896
_cell_length_b 5.1896
_cell_length_c 5.1896
_cell_angle_alpha 90.00
_cell_angle_beta 90.00
_cell_angle_gamma 90.00
loop_
_atom_site_label
_atom_site_type_symbol
_atom_site_fract_x
_atom_site_fract_y
_atom_site_fract_z
_atom_site_occupancy
Zn1 Zn 0.0000 0.0000 0.0000 1
Cu1 Cu 0.0000 0.0000 0.5000 1
H1 H 0.2500 0.2500 0.2500 1
# Energy relative to the lowest polymorph listed for this composition ... 328.7 meV per atom
# E_tot ... -2.377 eV per atom

---

No. 5
# Ru2WSe, optimized geometry, DFT GGA-PBE
data_Ru2WSe
_chemical_formula_sum 'Ru4 W2 Se2'
_space_group_name_H-M_alt 'C m m m'
_space_group_IT_number 65
_space_group_name_Hall '-C 2 2'
_cell_length_a 5.8526
_cell_length_b 7.1046
_cell_length_c 2.9264
_cell_angle_alpha 90.00
_cell_angle_beta 90.00
_cell_angle_gamma 90.00
loop_
_atom_site_label
_atom_site_type_symbol
_atom_site_fract_x
_atom_site_fract_y
_atom_site_fract_z
_atom_site_occupancy
Ru1 Ru 0.2500 0.2500 0.0000 1
W1 W 0.0000 0.0000 0.5000 1
Se1 Se 0.0000 0.5000 0.5000 1
# Formation energy without anion corrections ... 1.55 eV per formula unit
# E_tot ... -8.360 eV per atom

---

No. 6
# CaCd6Hg, optimized geometry, DFT GGA-PBE
data_CaCd6Hg
_chemical_formula_sum 'Ca2 Cd12 Hg2'
_space_group_name_H-M_alt 'A m m 2'
_space_group_IT_number 38
_cell_length_a 5.0203
_cell_length_b 6.2084
_cell_length_c 12.4295
_cell_angle_alpha 90.00
_cell_angle_beta 90.00
_cell_angle_gamma 90.00
loop_
_space_group_symop_operation_xyz
'x,y,z'
'-x,-y,z'
'-x,y,z'
'x,-y,z'
'x,y+1/2,z+1/2'
'-x,-y+1/2,z+1/2'
'-x,y+1/2,z+1/2'
'x,-y+1/2,z+1/2'
loop_
_atom_site_label
_atom_site_type_symbol
_atom_site_fract_x
_atom_site_fract_y
_atom_site_fract_z
_atom_site_occupancy
Ca1 Ca 0.0000 0.0000 0.0000 1
Cd1 Cd 0.0000 0.2371 0.7357 1
Cd2 Cd 0.5000 0.0000 0.1685 1
Cd3 Cd 0.5000 0.0000 0.6132 1
Cd4 Cd 0.5000 0.2389 0.8849 1
Hg1 Hg 0.0000 0.0000 0.4542 1
# Formation energy ... -122 meV per atom
# Energy relative to the lowest polymorph listed for this composition ... 0.0 meV per atom
# E_tot ... -1.096 eV per atom

---

No. 7
# BaAgOF, optimized geometry, DFT GGA-PBE
data_BaAgOF
_chemical_formula_sum 'Ba2 Ag2 O2 F2'
_space_group_name_H-M_alt 'P 4/n m m'
_space_group_IT_number 129
_cell_length_a 3.9772
_cell_length_b 3.9772
_cell_length_c 9.1564
_cell_angle_alpha 90.00
_cell_angle_beta 90.00
_cell_angle_gamma 90.00
loop_
_space_group_symop_operation_xyz
'x,y,z'
'-x,-y,-z'
'-y+1/2,x,z'
'y+1/2,-x,-z'
'-x+1/2,-y+1/2,z'
'x+1/2,y+1/2,-z'
'y,-x+1/2,z'
'-y,x+1/2,-z'
'x+1/2,-y,-z'
'-x+1/2,y,z'
'-y,-x,-z'
'y,x,z'
'-x,y+1/2,-z'
'x,-y+1/2,z'
'y+1/2,x+1/2,-z'
'-y+1/2,-x+1/2,z'
loop_
_atom_site_label
_atom_site_type_symbol
_atom_site_fract_x
_atom_site_fract_y
_atom_site_fract_z
_atom_site_occupancy
Ba1 Ba 0.2500 0.2500 0.1861 1
Ag1 Ag 0.2500 0.7500 0.5000 1
O1 O 0.2500 0.2500 0.6737 1
F1 F 0.2500 0.7500 0.0000 1
# Formation energy without anion corrections ... -7.76 eV per formula unit
# E_tot ... -4.842 eV per atom

---

No. 8
# ZrSnPC2, optimized geometry, DFT GGA-PBE
data_ZrSnPC2
_chemical_formula_sum 'Zr1 Sn1 P1 C2'
_space_group_name_H-M_alt 'P 4/m m m'
_space_group_IT_number 123
_space_group_name_Hall '-P 4 2'
_cell_length_a 4.3632
_cell_length_b 4.3632
_cell_length_c 5.1713
_cell_angle_alpha 90.00
_cell_angle_beta 90.00
_cell_angle_gamma 90.00
loop_
_atom_site_label
_atom_site_type_symbol
_atom_site_fract_x
_atom_site_fract_y
_atom_site_fract_z
_atom_site_occupancy
Zr1 Zr 0.0000 0.0000 0.0000 1
Sn1 Sn 0.5000 0.5000 0.5000 1
P1 P 0.0000 0.0000 0.5000 1
C1 C 0.0000 0.5000 0.0000 1
# Formation energy ... 1374 meV per atom
# E_tot ... -5.907 eV per atom